A geometry-optimized Dy5ZrIr6 structure, computed with GGA-PBE.

As for the energy: -7.8814 eV per atom.

It has space group Cmmm (No. 65), with a = 4.728 Å, b = 14.220 Å, c = 7.060 Å, α = 90.00°, β = 90.00° and γ = 90.00°. The distinct sites, in fractional coordinates, are Dy at (0.000, 0.000, 0.000), Dy at (0.000, 0.332, 0.500), Dy at (0.000, 0.334, 0.000), Zr at (0.000, 0.000, 0.500), Ir at (0.000, 0.161, 0.255) and Ir at (0.000, 0.500, 0.266).